Entry 1:
6
Lattice="2.266 -6.431 0.000 2.266 6.431 0.000 0.000 0.000 2.747" Properties=species:S:1:pos:R:3 comment="Ir5C | the Alexandria database | PBE | relaxed" dos_ef_per_ev_fu=5.79 e_above_lowest_polymorph_mev_per_atom=108.0 magnetic_moment_mub_per_atom=0.000 pbc="T T T"
Ir 0.000 0.000 1.373
Ir 2.266 -1.570 1.373
Ir 2.266 -4.013 0.000
Ir 2.266 4.013 0.000
C 2.266 0.000 0.000
Ir 2.266 1.570 1.373

Entry 2:
20
Lattice="6.768 0.000 -0.118 0.000 7.441 0.000 -0.095 0.000 10.257" Properties=species:S:1:pos:R:3 comment="Y3ScSe6 | the Alexandria database | PBE | relaxed" dos_ef_per_ev_fu=0.00 e_above_lowest_polymorph_mev_per_atom=10.9 raw_formation_energy_ev_per_atom=-1.8055 magnetic_moment_mub_per_atom=0.000 pbc="T T T"
Y 3.048 0.803 2.564
Se 4.438 1.384 5.832
Se 2.169 6.133 0.773
Se 5.572 5.104 9.376
Y 3.625 6.638 7.575
Se 1.101 2.337 0.763
Se 2.255 4.115 7.566
Se 0.986 0.395 7.760
Y 3.384 3.721 -0.059
Se 5.687 7.046 2.379
Se 4.418 3.326 2.572
Y 6.385 2.918 7.633
Sc 3.337 3.721 5.069
Se 2.235 6.058 4.307
Se 4.504 1.308 9.366
Y -0.047 0.000 5.128
Y 0.288 4.524 2.506
Se 5.506 5.029 5.842
Se 1.167 2.412 4.297
Sc 0.000 0.000 0.000